A plane-wave DFT calculation with PBE was carried out for crystalline PaAl2GaCu4 at its relaxed geometry.

```
8
Lattice="-2.022 0.973 -3.505 -4.075 0.839 0.113 -0.329 8.709 0.136" Properties=species:S:1:pos:R:3 pbc="T T T"
Pa 0.000 0.000 0.000
Al -4.840 7.790 -2.458
Al -1.585 2.731 -0.798
Ga -3.213 5.260 -1.628
Cu -2.704 7.682 -1.250
Cu -5.444 4.919 -2.907
Cu -0.982 5.602 -0.350
Cu -3.721 2.839 -2.007
```

## Properties
- E_form (eV per atom) = -0.155
- M_tot (Bohr magnetons per cell) = 0.00